Below is a relaxed SmRhAu crystal, with properties calculated at the PBE-GGA level.

The value obtained for the energy relative to the elements is -0.65 eV/atom. The value obtained for the volume is 130.7 Å³/cell. Its electronic total energy is -5.76 eV/atom.

```
SmRhAu
1.0
4.426 0.000 0.000
0.000 4.426 0.000
0.000 0.000 6.670
Sm Rh Au
2 2 2
Direct
0.250 0.250 0.212
0.750 0.750 0.788
0.250 0.750 0.500
0.750 0.250 0.500
0.250 0.250 0.759
0.750 0.750 0.241
```